PBE Nd2BeCuGe2, optimized geometry; size of the total moment = 0.042 μB/f.u.; symmetry = P-6m2 (187); electronic total energy = -29.906 eV/f.u.
1.0
4.1133 0.0000 0.0000
-2.0567 3.5623 0.0000
0.0000 0.0000 8.3801
Ge Be Nd Cu
2 1 2 1
direct
0.0000 0.0000 0.5000 Ge
0.3333 0.6667 0.0000 Ge
0.0000 0.0000 0.0000 Be
0.6667 0.3333 0.2514 Nd
0.6667 0.3333 0.7486 Nd
0.3333 0.6667 0.5000 Cu